Record 1
The following is a meta-GGA SCAN calculation of a crystal of InI2 relaxed with PBEsol, from Alexandria.

Computed properties:
* total moment: 0.0 μB/cell
* theoretical density: 5.01 Mg/m³
* formation energy (no corrections): -0.51 eV/atom

```
24
Lattice="-7.8051 2.7797 0.3859 -2.2518 -5.0483 -9.1809 -2.9150 -8.9687 5.6465" Properties=species:S:1:pos:R:3 pbc="T T T"
In -6.7995 -0.8248 2.1212
In -10.4499 -8.1712 -2.3258
In -2.5219 -3.0661 -0.8228
In -5.4803 -9.2232 0.1611
In -7.4915 -2.0141 -3.3096
In -7.8820 -6.1606 2.1934
In -5.0899 -5.0767 -5.3420
In -3.9206 -5.3641 3.9112
I -10.7022 -5.6468 0.0865
I -7.4087 0.4796 -2.1974
I -4.5660 -8.4613 -4.2329
I -2.7758 -6.3914 -7.7027
I -7.2300 -7.4551 -0.9932
I -8.2327 -6.3460 -4.4967
I -5.5631 -11.7169 -0.9511
I -5.7419 -3.7822 -2.1554
I -8.4059 -2.7759 1.0844
I -6.7865 -2.0839 -5.9479
I -2.2697 -5.5905 -3.2351
I -10.1961 -4.8458 4.5541
I -4.4363 -0.5215 0.7636
I -4.7392 -4.8913 1.3482
I -8.5355 -10.7158 -3.9122
I -6.1853 -9.1534 2.7994
```

Record 2
The following is a meta-GGA SCAN calculation of a crystal of BeBiAsSe2 relaxed with PBEsol, from Alexandria.

Computed properties:
* total moment: 0.0 μB/cell
* theoretical density: 7.59 Mg/m³
* formation energy (no corrections): 0.25 eV/atom

```
5
Lattice="-4.0141 -0.6875 1.8760 2.0895 -1.3311 3.9830 -0.0539 4.4399 1.5120" Properties=species:S:1:pos:R:3 pbc="T T T"
Se 1.0447 -0.6655 1.9915
Se -0.0269 2.2200 0.7560
Bi -0.9892 1.2107 3.6855
As -2.0070 -0.3438 0.9380
Be 0.0000 0.0000 0.0000
```

Record 3
The following is a meta-GGA SCAN calculation of a crystal of Ba2ZnCuBi2F14 relaxed with PBEsol, from Alexandria.

Computed properties:
* total moment: 2.0 μB/cell
* theoretical density: 5.99 Mg/m³
* formation energy (no corrections): -2.84 eV/atom

```
40
Lattice="-0.7820 0.5358 -5.0675 -3.7933 -6.0989 2.5629 -13.1622 9.1249 2.9959" Properties=species:S:1:pos:R:3 pbc="T T T"
F -6.1153 -1.3810 -2.7091
F -3.6410 -1.7390 -1.5846
F -16.7617 4.1656 1.4102
F -7.3186 0.6036 1.8530
F -4.8790 1.5488 -2.5975
F -8.0629 -2.7703 2.7303
F -9.6986 -0.7272 3.0364
F -3.5227 -3.7657 1.1397
F -10.4003 0.9999 0.7163
F -9.2574 -1.8274 0.5037
F -11.1941 5.9290 0.6236
F -12.8585 2.0131 3.0888
F -14.2147 7.3276 -0.6485
F -9.6745 6.3321 -2.2391
F -7.3372 2.5620 -0.2251
F -0.9757 -0.6038 -0.9190
F -12.4327 3.0007 0.4976
F -2.1171 0.9762 -2.9241
F -14.0964 5.3009 2.0758
F -8.0389 4.2890 -2.5452
F -8.4801 5.3892 -0.0124
F -15.6203 2.5856 3.4154
F -5.3048 0.5611 -0.0064
F -15.1745 2.1556 0.7905
F -11.6222 4.9429 3.2003
F -10.4189 2.9582 -1.3618
F -6.5433 -2.3672 -0.1323
F -2.5630 1.4062 -0.2992
Bi -11.8860 1.3653 -0.9013
Bi -5.2282 -3.2497 -1.9019
Bi -5.8514 2.1965 1.3925
Bi -12.5093 6.8116 2.3932
Ba -7.8220 -0.1071 -0.9285
Ba -9.9155 3.6689 1.4197
Ba -14.5516 4.5571 -0.3934
Ba -3.1858 -0.9953 0.8846
Zn -3.6346 2.5169 -1.4803
Zn -10.3096 7.1438 -0.5914
Cu -0.3910 0.2679 -2.5338
Cu -6.9721 4.8304 -1.0358
```

Record 4
The following is a meta-GGA SCAN calculation of a crystal of RbHf2TiN relaxed with PBEsol, from Alexandria.

Computed properties:
* total moment: 1.4 μB/cell
* theoretical density: 5.63 Mg/m³
* formation energy (no corrections): 2.09 eV/atom

```
5
Lattice="-0.1775 -2.0296 4.3268 -4.2705 -1.8764 -1.0554 2.9184 -5.3087 -2.3705" Properties=species:S:1:pos:R:3 pbc="T T T"
Rb 1.4592 -2.6543 -1.1853
N -0.7648 -4.6074 0.4504
Hf -0.0887 -1.0148 2.1634
Hf -2.1352 -0.9382 -0.5277
Ti 0.0000 0.0000 0.0000
```

Record 5
The following is a meta-GGA SCAN calculation of a crystal of K2MgSc relaxed with PBEsol, from Alexandria.

Computed properties:
* total moment: 0.5 μB/cell
* formation enthalpy at 0 K: 0.30 eV/atom
* theoretical density: 1.54 Mg/m³

```
4
Lattice="3.7425 0.0000 0.0000 0.0000 3.7425 0.0000 0.0000 0.0000 11.3616" Properties=species:S:1:pos:R:3 pbc="T T T"
Sc 1.8713 1.8713 7.7858
Mg 0.0000 0.0000 6.2428
K 0.0000 0.0000 10.8372
K 1.8713 1.8713 3.5382
```

Record 6
The following is a meta-GGA SCAN calculation of a crystal of Cu2Au relaxed with PBEsol, from Alexandria.

Computed properties:
* total moment: 0.0 μB/cell
* ΔE to the lowest computed polymorph: 0.062 eV/atom
* formation enthalpy at 0 K: -0.01 eV/atom
* theoretical density: 13.46 Mg/m³

```
3
Lattice="-1.7512 -1.5838 -1.2767 1.1460 -3.1919 2.3880 -3.1079 2.4731 1.1951" Properties=species:S:1:pos:R:3 pbc="T T T"
Au -0.8756 -0.7919 -0.6383
Cu -1.6900 0.5848 1.5927
Cu -0.2720 -1.3036 1.9903
```